(1)
NbAlGaRe (PBE, optimized geometry); SG = F-43m (216); volume = 62.47 Å³ per cell; energy of formation = -143.3 meV per atom
1.0
0.0000 3.1492 3.1492
3.1492 0.0000 3.1492
3.1492 3.1492 0.0000
Nb Al Ga Re
1 1 1 1
direct
0.0000 0.0000 0.0000
0.5000 0.5000 0.5000
0.2500 0.2500 0.2500
0.7500 0.7500 0.7500

(2)
LaPr2NdEr5 (PBE, optimized geometry); SG = I4/mcm (140); volume = 597.45 Å³ per cell; energy of formation = 240.3 meV per atom
1.0
-4.3626 4.3626 7.8479
4.3626 -4.3626 7.8479
4.3626 4.3626 -7.8479
La Pr Nd Er
2 4 2 10
direct
0.2500 0.7500 0.5000
0.7500 0.2500 0.5000
0.1183 0.6183 0.7366
0.3817 0.1183 0.5000
0.6183 0.8817 0.5000
0.8817 0.3817 0.2634
0.2500 0.2500 0.0000
0.7500 0.7500 0.0000
0.0000 0.0000 0.0000
0.0716 0.1539 0.5000
0.1539 0.6539 0.0823
0.3461 0.4284 0.5000
0.4284 0.9284 0.0823
0.5000 0.5000 0.0000
0.5716 0.0716 0.9177
0.6539 0.5716 0.5000
0.8461 0.3461 0.9177
0.9284 0.8461 0.5000

(3)
GeOs (PBE, optimized geometry); SG = P6_3/m (176); volume = 282.77 Å³ per cell; energy of formation = 431.9 meV per atom
1.0
10.6762 0.0000 0.0000
-5.3381 9.2459 0.0000
0.0000 0.0000 2.8646
Ge Os
6 6
direct
0.1392 0.3666 0.2500
0.2274 0.8608 0.2500
0.3666 0.2274 0.7500
0.6334 0.7726 0.2500
0.7726 0.1392 0.7500
0.8608 0.6334 0.7500
0.0346 0.6130 0.2500
0.3870 0.4216 0.2500
0.4216 0.0346 0.7500
0.5784 0.9654 0.2500
0.6130 0.5784 0.7500
0.9654 0.3870 0.7500

(4)
PrDy3Pb3 (PBE, optimized geometry); SG = P6_3/m (176); volume = 421.28 Å³ per cell; energy of formation = -379.0 meV per atom
1.0
9.3550 0.0000 0.0000
-4.6775 8.1017 0.0000
0.0000 0.0000 5.5584
Pr Dy Pb
2 6 6
direct
0.3333 0.6667 0.2500
0.6667 0.3333 0.7500
0.0057 0.2359 0.2500
0.2302 0.9943 0.2500
0.2359 0.2302 0.7500
0.7641 0.7698 0.2500
0.7698 0.0057 0.7500
0.9943 0.7641 0.7500
0.0761 0.4490 0.7500
0.3729 0.9239 0.7500
0.4490 0.3729 0.2500
0.5510 0.6271 0.7500
0.6271 0.0761 0.2500
0.9239 0.5510 0.2500

(5)
NaFe2Mo (PBE, optimized geometry); SG = I-42d (122); excess energy over the best structure of this formula in the dataset = 6.35 kcal/mol of atoms; volume = 126.78 Å³ per cell; energy of formation = 1119.9 meV per atom
1.0
-3.4050 3.4050 2.7336
3.4050 -3.4050 2.7336
3.4050 3.4050 -2.7336
Na Fe Mo
2 4 2
direct
0.0000 0.0000 0.0000
0.7500 0.2500 0.5000
0.1629 0.6250 0.0379
0.3750 0.4129 0.5379
0.5871 0.1250 0.9621
0.8750 0.8371 0.4621
0.2500 0.7500 0.5000
0.5000 0.5000 0.0000

(6)
MgSb2RhAu (PBE, optimized geometry); SG = P4/mmm (123); volume = 128.65 Å³ per cell; formation energy from raw total energies = 4.57 eV per formula unit
1.0
5.1810 0.0000 0.0000
0.0000 5.1810 0.0000
0.0000 0.0000 4.7927
Mg Sb Rh Au
1 2 1 1
direct
0.0000 0.0000 0.0000
0.0000 0.5000 0.0000
0.5000 0.0000 0.0000
0.5000 0.5000 0.5000
0.0000 0.0000 0.5000

(7)
Nd6Rh2AuCl3 (PBE, optimized geometry); SG = C2/m (12); volume = 338.87 Å³ per cell; formation energy from raw total energies = -13.65 eV per formula unit
1.0
3.6048 -6.2652 0.0000
3.6048 6.2652 0.0000
-2.3738 0.0000 7.5021
Nd Rh Au Cl
6 2 1 3
direct
0.0804 0.4311 0.7910
0.2175 0.2175 0.2094
0.4311 0.0804 0.7910
0.5689 0.9196 0.2090
0.7825 0.7825 0.7906
0.9196 0.5689 0.2090
0.1663 0.8337 0.0000
0.8337 0.1663 0.0000
0.5000 0.5000 0.0000
0.0000 0.0000 0.5000
0.3272 0.6728 0.5000
0.6728 0.3272 0.5000

(8)
Sm2PaC (PBE, optimized geometry); SG = R-3m (166); volume = 99.87 Å³ per cell; energy of formation = 226.0 meV per atom
1.0
1.7220 0.9942 9.7226
-1.7220 0.9942 9.7226
0.0000 -1.9883 9.7226
Sm Pa C
2 1 1
direct
0.1174 0.1174 0.1174
0.8826 0.8826 0.8826
0.0000 0.0000 0.0000
0.5000 0.5000 0.5000

Here are the calculated DOS(E_F) numbers, same order: 0.354, 9.168, 0.695, 7.960, 5.390, 4.157, 9.068, 4.768 (states/eV/f.u.).